Here is crystalline PuZn4Au8 at its relaxed geometry from Alexandria. Energies are from PBE.

Calculated values
**ΔE_f**: -0.262 eV/atom
**Crystal system**: tetragonal

a b c (Å): 5.4056 7.1282 7.1282
angles (deg): 81.73 67.72 67.72
Atoms (fractional coordinates):
Pu1 0.0000 0.0000 0.0000
Zn1 0.0000 0.0000 0.5000
Zn2 0.5000 0.0000 0.5000
Zn3 0.0000 0.5000 0.0000
Zn4 0.5000 0.5000 0.0000
Au1 0.0000 0.3365 0.6635
Au2 0.0000 0.6635 0.3365
Au3 0.3365 0.6635 0.6635
Au4 0.6635 0.3365 0.3365
Au5 0.5000 0.7830 0.2170
Au6 0.5000 0.2170 0.7830
Au7 0.2830 0.2170 0.2170
Au8 0.7170 0.7830 0.7830